(1)
Material: La3BiIr
Method: DFT, PBE
State: relaxed

Values from the calculation:
**E_form**: -0.5443 eV per atom

```
La3BiIr
1.0
-4.479 9.099 -22.077
-6.032 1.761 1.950
3.051 -0.033 9.470
La Bi Ir
12 4 4
Direct
0.629 0.121 0.217
0.371 0.879 0.783
0.526 0.364 0.707
0.871 0.621 0.283
0.026 0.136 0.207
0.268 0.872 0.174
0.974 0.864 0.793
0.232 0.372 0.326
0.768 0.628 0.674
0.732 0.128 0.826
0.129 0.379 0.717
0.474 0.636 0.293
0.622 0.849 0.918
0.878 0.349 0.582
0.122 0.651 0.418
0.378 0.151 0.082
0.989 0.117 0.586
0.489 0.383 0.086
0.011 0.883 0.414
0.511 0.617 0.914
```

---

(2)
Material: TaIn2Tc
Method: DFT, PBE
State: relaxed

Values from the calculation:
**E_form**: 0.0781 eV per atom

```
TaIn2Tc
1.0
-2.221 -0.396 -2.315
-1.054 -2.680 1.470
-4.954 4.164 4.039
Ta In Tc
1 2 1
Direct
0.000 0.000 0.540
0.500 0.500 0.280
0.000 0.000 0.957
0.500 0.500 0.723
```

---

(3)
Material: Th3InTc2
Method: DFT, PBE
State: relaxed

Values from the calculation:
**E_form**: -0.1278 eV per atom

```
Th3InTc2
1.0
4.746 0.000 0.000
0.000 8.551 -0.141
-2.373 -2.188 7.628
Th In Tc
6 2 4
Direct
0.926 0.293 0.852
0.237 0.205 0.473
0.763 0.795 0.527
0.074 0.707 0.148
0.608 0.378 0.215
0.392 0.622 0.785
0.409 0.025 0.819
0.591 0.975 0.181
0.059 0.150 0.118
0.193 0.547 0.386
0.807 0.453 0.614
0.941 0.850 0.882
```

---

(4)
Material: KGa2AgRh
Method: DFT, PBE
State: relaxed

Values from the calculation:
**E_form**: -0.2013 eV per atom

```
KGa2AgRh
1.0
4.779 0.000 0.000
0.000 4.779 0.000
0.000 0.000 5.432
Ga K Rh Ag
2 1 1 1
Direct
0.500 0.000 0.000
0.000 0.500 0.000
0.500 0.500 0.500
0.000 0.000 0.000
0.000 0.000 0.500
```

---

(5)
Material: LuHfInTc
Method: DFT, PBE
State: relaxed

Values from the calculation:
**E_form**: -0.1962 eV per atom

```
LuHfInTc
1.0
4.872 0.000 0.000
2.436 4.219 0.000
2.436 1.406 3.978
Lu Hf In Tc
1 1 1 1
Direct
0.250 0.250 0.250
0.750 0.750 0.750
0.500 0.500 0.500
0.000 0.000 0.000
```

---

(6)
Material: Al2ZnIn
Method: DFT, PBE
State: relaxed

Values from the calculation:
**E_form**: 0.2436 eV per atom

```
Al2ZnIn
1.0
-6.424 4.257 -0.600
-3.538 -5.848 -3.609
-5.861 -1.777 0.347
Zn Al In
2 4 2
Direct
0.500 0.500 0.000
0.250 0.750 0.500
0.161 0.625 0.250
0.589 0.125 0.250
0.875 0.839 0.750
0.375 0.411 0.750
0.000 0.000 0.000
0.750 0.250 0.500
```

---

(7)
Material: TcMo2As
Method: DFT, PBE
State: relaxed

Values from the calculation:
**E_form**: 0.0030 eV per atom

```
TcMo2As
1.0
-3.964 2.607 2.046
-0.971 -0.629 5.035
3.597 1.419 -3.426
Mo Tc As
2 1 1
Direct
0.008 0.008 0.000
0.492 0.492 0.000
0.750 0.250 0.500
0.250 0.750 0.500
```

---

(8)
Material: SmYZr2
Method: DFT, PBE
State: relaxed

Values from the calculation:
**E_form**: 0.1562 eV per atom

```
SmYZr2
1.0
-0.039 -1.857 4.468
4.735 -0.208 -0.045
0.210 4.372 1.818
Y Zr Sm
1 2 1
Direct
0.500 0.500 0.500
0.000 0.000 0.500
0.000 0.500 0.000
0.500 0.000 0.000
```

---

(9)
Material: Cs6K12Pd
Method: DFT, PBE
State: relaxed

Values from the calculation:
**E_form**: 0.0191 eV per atom

```
Cs6K12Pd
1.0
11.431 0.148 2.170
1.824 11.286 2.170
0.172 0.148 11.634
K Cs Pd
12 6 1
Direct
0.147 0.463 0.147
0.523 0.194 0.523
0.477 0.477 0.806
0.806 0.477 0.477
0.523 0.523 0.194
0.194 0.523 0.523
0.463 0.147 0.147
0.853 0.853 0.537
0.477 0.806 0.477
0.853 0.537 0.853
0.537 0.853 0.853
0.147 0.147 0.463
0.138 0.806 0.806
0.806 0.138 0.806
0.194 0.862 0.194
0.862 0.194 0.194
0.194 0.194 0.862
0.806 0.806 0.138
0.000 0.000 0.000
```

---

(10)
Material: Tm3BiIr
Method: DFT, PBE
State: relaxed

Values from the calculation:
**E_form**: -0.7639 eV per atom

```
Tm3BiIr
1.0
-2.605 -1.731 2.943
5.977 -1.141 4.618
-2.327 14.862 6.684
Tm Bi Ir
12 4 4
Direct
0.750 0.484 0.911
0.750 0.134 0.050
0.750 0.823 0.203
0.750 0.634 0.450
0.250 0.016 0.411
0.250 0.177 0.797
0.250 0.677 0.703
0.250 0.366 0.550
0.750 0.984 0.589
0.750 0.323 0.297
0.250 0.866 0.950
0.250 0.516 0.089
0.250 0.128 0.200
0.750 0.872 0.800
0.750 0.372 0.700
0.250 0.628 0.300
0.750 0.238 0.459
0.250 0.262 0.959
0.250 0.762 0.541
0.750 0.738 0.041
```

---

(11)
Material: SmHg2Pb
Method: DFT, PBE
State: relaxed

Values from the calculation:
**E_form**: -0.2992 eV per atom

```
SmHg2Pb
1.0
3.780 0.000 0.000
0.000 3.780 0.000
0.000 0.000 7.625
Hg Sm Pb
2 1 1
Direct
0.000 0.000 0.756
0.000 0.000 0.244
0.500 0.500 0.000
0.500 0.500 0.500
```

---

(12)
Material: NdTm5Mg4
Method: DFT, PBE
State: relaxed

Values from the calculation:
**E_form**: -0.0375 eV per atom

```
NdTm5Mg4
1.0
-2.107 -0.653 2.978
-0.948 -3.300 -1.394
15.798 -8.475 9.320
Tm Nd Mg
5 1 4
Direct
0.500 0.500 0.500
0.500 0.500 0.879
0.500 0.500 0.689
0.500 0.500 0.311
0.500 0.500 0.121
0.000 0.000 0.000
0.000 0.000 0.217
0.000 0.000 0.405
0.000 0.000 0.595
0.000 0.000 0.783
```

---

(13)
Material: TiCoHg2
Method: DFT, PBE
State: relaxed

Values from the calculation:
**E_form**: 0.2193 eV per atom

```
TiCoHg2
1.0
-2.054 -1.854 3.634
-4.481 0.605 0.647
-2.880 -3.504 -0.545
Hg Co Ti
2 1 1
Direct
0.250 0.250 0.250
0.750 0.750 0.750
0.500 0.500 0.500
0.000 0.000 0.000
```

---

(14)
Material: BaGeSbTe2
Method: DFT, PBE
State: relaxed

Values from the calculation:
**Uncorrected formation energy**: 0.8139 eV/atom

```
BaGeSbTe2
1.0
-3.074 -0.236 -5.613
-4.970 -2.869 2.843
-2.594 5.664 1.182
Ge Sb Ba Te
1 1 1 2
Direct
0.500 0.500 0.500
0.000 0.000 0.500
0.000 0.000 0.000
0.500 0.000 0.000
0.000 0.500 0.000
```

---

(15)
Material: Li2PS
Method: DFT, PBE
State: relaxed

Values from the calculation:
**Uncorrected formation energy**: -0.3012 eV/atom

```
Li2PS
1.0
0.000 3.090 3.090
3.090 0.000 3.090
3.090 3.090 0.000
P S Li
1 1 2
Direct
0.000 0.000 0.000
0.500 0.500 0.500
0.250 0.250 0.250
0.750 0.750 0.750
```

---

(16)
Material: ZrTcMo2Rh
Method: DFT, PBE
State: relaxed

Values from the calculation:
**E_form**: 2.0839 eV per atom

```
ZrTcMo2Rh
1.0
-1.919 -4.283 0.748
0.890 -1.163 -4.379
4.250 -1.675 1.309
Tc Mo Zr Rh
1 2 1 1
Direct
0.500 0.500 0.500
0.000 0.000 0.500
0.500 0.000 0.000
0.000 0.000 0.000
0.000 0.500 0.000
```

---

(17)
Material: Tm4HgPdAu2
Method: DFT, PBE
State: relaxed

Values from the calculation:
**E_form**: -0.8001 eV per atom

```
Tm4HgPdAu2
1.0
5.037 0.000 0.000
2.519 4.362 0.000
2.519 1.454 8.201
Pd Tm Hg Au
1 4 1 2
Direct
0.500 0.500 0.500
0.620 0.620 0.139
0.380 0.380 0.861
0.129 0.129 0.614
0.871 0.871 0.386
0.000 0.000 0.000
0.253 0.253 0.241
0.747 0.747 0.759
```

---

(18)
Material: In2Re2Ir
Method: DFT, PBE
State: relaxed

Values from the calculation:
**E_form**: 1.1671 eV per atom

```
In2Re2Ir
1.0
-1.872 1.872 6.800
1.872 -1.872 6.800
1.872 1.872 -6.800
In Ir Re
2 1 2
Direct
0.750 0.250 0.500
0.250 0.750 0.500
0.000 0.000 0.000
0.414 0.414 0.000
0.586 0.586 0.000
```

---

(19)
Material: KAc2TaO6
Method: DFT, PBE
State: relaxed

Values from the calculation:
**Uncorrected formation energy**: -2.8176 eV/atom

```
KAc2TaO6
1.0
5.713 0.000 0.000
0.000 5.718 0.000
0.000 0.000 5.718
O Ac K Ta
6 2 1 1
Direct
0.740 0.223 0.223
0.740 0.777 0.777
0.740 0.777 0.223
0.274 0.000 0.000
0.094 0.500 0.500
0.740 0.223 0.777
0.988 0.500 0.000
0.988 0.000 0.500
0.533 0.500 0.500
0.609 0.000 0.000
```

---

(20)
Material: KH2OsSe
Method: DFT, PBE
State: relaxed

Values from the calculation:
**E**: -4.276 eV per atom

```
KH2OsSe
1.0
-0.584 3.489 -2.112
-4.209 -1.491 -1.300
-1.653 1.748 3.345
Os H K Se
1 2 1 1
Direct
0.000 0.000 0.000
0.000 0.000 0.500
0.500 0.000 0.000
0.500 0.500 0.500
0.000 0.500 0.000
```

---

(21)
Material: GaTcB2Au
Method: DFT, PBE
State: relaxed

Values from the calculation:
**E_form**: 1.7272 eV per atom

```
GaTcB2Au
1.0
-2.402 -0.899 -3.106
-0.275 -4.712 1.576
-3.226 0.933 2.225
B Tc Ga Au
2 1 1 1
Direct
0.500 0.000 0.000
0.000 0.000 0.500
0.000 0.500 0.000
0.000 0.000 0.000
0.500 0.500 0.500
```

---

(22)
Material: TmThFe2
Method: DFT, PBE
State: relaxed

Values from the calculation:
**E_form**: 0.0611 eV per atom

```
TmThFe2
1.0
4.783 0.000 0.000
2.392 4.142 0.000
2.392 1.381 3.905
Fe Tm Th
2 1 1
Direct
0.250 0.250 0.250
0.750 0.750 0.750
0.500 0.500 0.500
0.000 0.000 0.000
```

---

(23)
Material: Nd5Dy2TmTh
Method: DFT, PBE
State: relaxed

Values from the calculation:
**E_form**: 0.1406 eV per atom

```
Nd5Dy2TmTh
1.0
-3.968 2.921 -2.247
0.884 -8.939 -6.657
-7.134 -5.126 5.936
Nd Dy Th Tm
10 4 2 2
Direct
0.722 0.444 0.201
0.500 0.000 0.758
0.999 0.997 0.008
0.001 0.003 0.508
0.500 0.000 0.258
0.278 0.556 0.701
0.278 0.556 0.315
0.374 0.748 0.008
0.626 0.252 0.508
0.722 0.444 0.815
0.113 0.225 0.255
0.887 0.775 0.755
0.887 0.774 0.261
0.113 0.226 0.761
0.788 0.577 0.508
0.212 0.423 0.008
0.398 0.796 0.508
0.602 0.204 0.008
```

---

(24)
Material: TaAlHg2
Method: DFT, PBE
State: relaxed

Values from the calculation:
**E_form**: 0.4136 eV per atom

```
TaAlHg2
1.0
5.491 0.000 0.000
2.461 4.908 0.000
-3.976 -2.454 2.884
Ta Hg Al
1 2 1
Direct
0.500 0.500 0.000
0.000 0.000 0.000
0.250 0.750 0.500
0.750 0.250 0.500
```

---

(25)
Material: InAsW2
Method: DFT, PBE
State: relaxed

Values from the calculation:
**E_form**: 0.7487 eV per atom

```
InAsW2
1.0
-1.795 4.421 -2.553
-3.279 -4.156 0.337
-1.927 0.956 1.998
In W As
1 2 1
Direct
0.500 0.500 0.000
0.000 0.000 0.000
0.500 0.000 0.500
0.000 0.500 0.500
```

---

| no. | theoretical density (g/cm3) |
| --- | --- |
| 1 | 8.86 |
| 2 | 10.59 |
| 3 | 10.85 |
| 4 | 5.21 |
| 5 | 11.50 |
| 6 | 4.68 |
| 7 | 10.07 |
| 8 | 6.44 |
| 9 | 1.53 |
| 10 | 11.17 |
| 11 | 11.57 |
| 12 | 6.50 |
| 13 | 12.52 |
| 14 | 3.75 |
| 15 | 2.16 |
| 16 | 7.71 |
| 17 | 12.69 |
| 18 | 13.84 |
| 19 | 6.85 |
| 20 | 6.53 |
| 21 | 7.94 |
| 22 | 11.00 |
| 23 | 7.72 |
| 24 | 13.01 |
| 25 | 13.22 |